[1]
Compound: U2Fe3Si
Source: the Alexandria database
Functional: PBEsol
Structure: optimized geometry

Results
ΔE_f (raw): -41.7 kJ per mole of atoms
total energy: -9.924 eV per atom
space-group type: P6_3/mmc, No. 194

abc: 5.068 5.068 7.310
angles: 90.00 90.00 120.00
Fractional coordinates of all 12 atoms:
Si: 0.000 0.000 0.500
Si: 0.000 0.000 0.000
U: 0.333 0.667 0.565
U: 0.667 0.333 0.435
U: 0.667 0.333 0.065
U: 0.333 0.667 0.935
Fe: 0.832 0.168 0.750
Fe: 0.664 0.832 0.250
Fe: 0.168 0.832 0.250
Fe: 0.832 0.664 0.750
Fe: 0.168 0.336 0.250
Fe: 0.336 0.168 0.750


[2]
Compound: V2FeSi
Source: the Alexandria database
Functional: PBEsol
Structure: optimized geometry

Results
ΔE_f (raw): -53.0 kJ per mole of atoms
total energy: -9.044 eV per atom
space-group type: Ama2, No. 40

abc: 4.485 4.549 4.549
angles: 89.87 90.00 90.00
Fractional coordinates of all 8 atoms:
V: 0.500 0.498 0.498
V: 0.750 0.240 0.006
V: 0.250 0.006 0.240
V: 0.000 0.498 0.498
Fe: 0.750 0.747 0.006
Fe: 0.250 0.006 0.747
Si: 0.250 0.510 0.995
Si: 0.750 0.995 0.510


[3]
Compound: VFe3Si4
Source: the Alexandria database
Functional: PBEsol
Structure: optimized geometry

Results
ΔE_f (raw): -54.2 kJ per mole of atoms
total energy: -8.001 eV per atom
space-group type: R3, No. 146

abc: 4.475 4.475 4.475
angles: 89.59 89.59 89.59
Fractional coordinates of all 8 atoms:
Si: 0.333 0.333 0.333
Si: 0.661 0.151 0.859
Si: 0.151 0.859 0.661
Si: 0.859 0.661 0.151
Fe: 0.370 0.851 0.140
Fe: 0.851 0.140 0.370
Fe: 0.140 0.370 0.851
V: 0.636 0.636 0.636


[4]
Compound: FeSiW2
Source: the Alexandria database
Functional: PBEsol
Structure: optimized geometry

Results
ΔE_f (raw): 1.6 kJ per mole of atoms
excess energy over the best structure of this formula in the dataset: 0.066 eV/atom
total energy: -10.564 eV per atom
space-group type: P4/mmm, No. 123

abc: 2.752 2.752 7.013
angles: 90.00 90.00 90.00
Fractional coordinates of all 4 atoms:
Fe: 0.500 0.500 0.000
Si: 0.500 0.500 0.500
W: 0.000 0.000 0.757
W: 0.000 0.000 0.243


[5]
Compound: FeSiW2
Source: the Alexandria database
Functional: PBEsol
Structure: optimized geometry

Results
ΔE_f (raw): -4.7 kJ per mole of atoms
excess energy over the best structure of this formula in the dataset: 0.000 eV/atom
total energy: -10.631 eV per atom
space-group type: Imm2, No. 44

abc: 3.090 4.230 4.872
angles: 115.72 108.49 90.00
Last column: magnetic moment on the atom in μB.
Fractional coordinates of all 4 atoms:
Fe: 0.512 0.512 0.025  1.60
Si: 0.234 0.734 0.467  0.01
W: 0.994 0.994 0.989  0.09
W: 0.760 0.260 0.520  -0.04


[6]
Compound: FeSi2W
Source: the Alexandria database
Functional: PBEsol
Structure: optimized geometry

Results
ΔE_f (raw): 25.7 kJ per mole of atoms
total energy: -8.300 eV per atom
space-group type: I-42d, No. 122

abc: 3.634 3.634 8.839
angles: 101.86 101.86 90.00
Last column: magnetic moment on the atom in μB.
Fractional coordinates of all 8 atoms:
Si: 0.397 0.875 0.250  0.00
Si: 0.853 0.375 0.250  0.00
Si: 0.125 0.147 0.750  0.00
Si: 0.625 0.603 0.750  0.00
Fe: 0.750 0.250 0.500  1.54
Fe: 0.500 0.500 0.000  1.54
W: 0.250 0.750 0.500  0.01
W: 0.000 0.000 0.000  0.01


[7]
Compound: YFe4Si2
Source: the Alexandria database
Functional: PBEsol
Structure: optimized geometry

Results
ΔE_f (raw): -50.4 kJ per mole of atoms
total energy: -8.261 eV per atom
space-group type: P4_2/mnm, No. 136

abc: 3.679 6.994 6.994
angles: 90.00 90.00 90.00
Last column: magnetic moment on the atom in μB.
Fractional coordinates of all 14 atoms:
Fe: 0.000 0.084 0.354  0.94
Fe: 0.000 0.916 0.646  0.94
Fe: 0.500 0.146 0.584  0.94
Fe: 0.500 0.854 0.416  0.94
Fe: 0.500 0.416 0.854  0.94
Fe: 0.500 0.584 0.146  0.94
Fe: 0.000 0.354 0.084  0.94
Fe: 0.000 0.646 0.916  0.94
Si: 0.000 0.220 0.780  -0.05
Si: 0.000 0.780 0.220  -0.05
Si: 0.500 0.720 0.720  -0.05
Si: 0.500 0.280 0.280  -0.05
Y: 0.500 0.000 0.000  -0.15
Y: 0.000 0.500 0.500  -0.15


[8]
Compound: YFe2Si2
Source: the Alexandria database
Functional: PBEsol
Structure: optimized geometry

Results
ΔE_f (raw): -72.6 kJ per mole of atoms
total energy: -8.001 eV per atom
space-group type: I4/mmm, No. 139

abc: 3.910 3.910 5.471
angles: 110.94 110.94 90.00
Fractional coordinates of all 5 atoms:
Y: 0.000 0.000 0.000
Si: 0.366 0.366 0.732
Si: 0.634 0.634 0.268
Fe: 0.250 0.750 0.500
Fe: 0.750 0.250 0.500


[9]
Compound: YFe3Si
Source: the Alexandria database
Functional: PBEsol
Structure: optimized geometry

Results
ΔE_f (raw): 18.0 kJ per mole of atoms
total energy: -7.705 eV per atom
space-group type: Pm-3m, No. 221

abc: 4.222 4.222 4.222
angles: 90.00 90.00 90.00
Last column: magnetic moment on the atom in μB.
Fractional coordinates of all 5 atoms:
Y: 0.500 0.500 0.500  -0.26
Si: 0.000 0.000 0.000  -0.07
Fe: 0.000 0.500 0.000  1.22
Fe: 0.000 0.000 0.500  1.22
Fe: 0.500 0.000 0.000  1.22


[10]
Compound: Y2FeSi
Source: the Alexandria database
Functional: PBEsol
Structure: optimized geometry

Results
ΔE_f (raw): -2.6 kJ per mole of atoms
total energy: -7.115 eV per atom
space-group type: F-43m, No. 216

abc: 4.631 4.631 4.631
angles: 60.00 60.00 60.00
Fractional coordinates of all 4 atoms:
Fe: 0.500 0.500 0.500
Si: 0.250 0.250 0.250
Y: 0.000 0.000 0.000
Y: 0.750 0.750 0.750


[11]
Compound: YFeSi2
Source: the Alexandria database
Functional: PBEsol
Structure: optimized geometry

Results
ΔE_f (raw): 20.7 kJ per mole of atoms
total energy: -6.605 eV per atom
space-group type: R3m, No. 160

abc: 3.024 3.024 8.397
angles: 79.63 79.63 60.00
Last column: magnetic moment on the atom in μB.
Fractional coordinates of all 4 atoms:
Fe: 0.263 0.263 0.211  1.46
Si: 0.992 0.992 0.023  -0.04
Si: 0.739 0.739 0.783  -0.01
Y: 0.505 0.505 0.484  -0.09


[12]
Compound: Y2Fe3Si5
Source: the Alexandria database
Functional: PBEsol
Structure: optimized geometry

Results
ΔE_f (raw): -77.2 kJ per mole of atoms
total energy: -7.727 eV per atom
space-group type: P4/mnc, No. 128

abc: 5.418 10.251 10.251
angles: 90.00 90.00 90.00
Fractional coordinates of all 40 atoms:
Fe: 0.000 0.377 0.355
Fe: 0.000 0.623 0.645
Fe: 0.000 0.645 0.377
Fe: 0.000 0.355 0.623
Fe: 0.500 0.123 0.855
Fe: 0.500 0.877 0.145
Fe: 0.500 0.855 0.877
Fe: 0.500 0.145 0.123
Fe: 0.250 0.000 0.500
Fe: 0.250 0.500 0.000
Fe: 0.750 0.000 0.500
Fe: 0.750 0.500 0.000
Si: 0.250 0.178 0.678
Si: 0.250 0.822 0.322
Si: 0.250 0.322 0.178
Si: 0.250 0.678 0.822
Si: 0.750 0.822 0.322
Si: 0.750 0.178 0.678
Si: 0.750 0.678 0.822
Si: 0.750 0.322 0.178
Si: 0.268 0.000 0.000
Si: 0.232 0.500 0.500
Si: 0.732 0.000 0.000
Si: 0.768 0.500 0.500
Si: 0.000 0.180 0.478
Si: 0.000 0.820 0.522
Si: 0.000 0.522 0.180
Si: 0.000 0.478 0.820
Si: 0.500 0.320 0.978
Si: 0.500 0.680 0.022
Si: 0.500 0.978 0.680
Si: 0.500 0.022 0.320
Y: 0.000 0.069 0.236
Y: 0.000 0.931 0.764
Y: 0.000 0.764 0.069
Y: 0.000 0.236 0.931
Y: 0.500 0.431 0.736
Y: 0.500 0.569 0.264
Y: 0.500 0.736 0.569
Y: 0.500 0.264 0.431


[13]
Compound: YFeSi2
Source: the Alexandria database
Functional: PBEsol
Structure: optimized geometry

Results
ΔE_f (raw): -72.6 kJ per mole of atoms
total energy: -7.572 eV per atom
space-group type: R-3m, No. 166

abc: 3.867 3.867 5.385
angles: 68.96 68.96 60.00
Fractional coordinates of all 4 atoms:
Y: 0.000 0.000 0.000
Si: 0.793 0.793 0.622
Si: 0.207 0.207 0.378
Fe: 0.500 0.500 0.500


[14]
Compound: YFe10Si2
Source: the Alexandria database
Functional: PBEsol
Structure: optimized geometry

Results
ΔE_f (raw): -25.2 kJ per mole of atoms
total energy: -8.565 eV per atom
space-group type: Immm, No. 71

abc: 4.637 6.238 6.238
angles: 81.78 68.18 68.18
Last column: magnetic moment on the atom in μB.
Fractional coordinates of all 13 atoms:
Y: 0.000 0.000 0.000  -0.25
Fe: 0.638 0.362 0.362  2.13
Fe: 0.362 0.638 0.638  2.13
Fe: 0.000 0.645 0.355  2.17
Fe: 0.000 0.355 0.645  2.17
Fe: 0.500 0.214 0.786  2.02
Fe: 0.500 0.786 0.214  2.02
Fe: 0.500 0.500 0.000  1.67
Fe: 0.000 0.500 0.000  1.67
Fe: 0.500 0.000 0.500  1.67
Fe: 0.000 0.000 0.500  1.67
Si: 0.735 0.765 0.765  -0.08
Si: 0.265 0.235 0.235  -0.08


[15]
Compound: YFeSi2
Source: the Alexandria database
Functional: PBEsol
Structure: optimized geometry

Results
ΔE_f (raw): -18.8 kJ per mole of atoms
total energy: -7.014 eV per atom
space-group type: P4/mmm, No. 123

abc: 3.970 3.970 4.022
angles: 90.00 90.00 90.00
Last column: magnetic moment on the atom in μB.
Fractional coordinates of all 4 atoms:
Fe: 0.000 0.000 0.500  2.21
Si: 0.000 0.500 0.000  -0.01
Si: 0.500 0.000 0.000  -0.01
Y: 0.500 0.500 0.500  -0.09


[16]
Compound: Y3Fe2Si3
Source: the Alexandria database
Functional: PBEsol
Structure: optimized geometry

Results
ΔE_f (raw): -71.1 kJ per mole of atoms
total energy: -7.691 eV per atom
space-group type: Cmcm, No. 63

abc: 4.039 5.581 13.443
angles: 90.00 90.00 111.21
Fractional coordinates of all 16 atoms:
Y: 0.366 0.733 0.250
Y: 0.634 0.267 0.750
Y: 0.081 0.162 0.388
Y: 0.919 0.838 0.612
Y: 0.919 0.838 0.888
Y: 0.081 0.162 0.112
Fe: 0.215 0.431 0.919
Fe: 0.785 0.569 0.081
Fe: 0.785 0.569 0.419
Fe: 0.215 0.431 0.581
Si: 0.678 0.356 0.250
Si: 0.322 0.644 0.750
Si: 0.374 0.748 0.460
Si: 0.626 0.252 0.540
Si: 0.626 0.252 0.960
Si: 0.374 0.748 0.040


[17]
Compound: ZnFeSi2
Source: the Alexandria database
Functional: PBEsol
Structure: optimized geometry

Results
ΔE_f (raw): 2.8 kJ per mole of atoms
total energy: -5.481 eV per atom
space-group type: I4/mmm, No. 139

abc: 3.684 3.684 4.363
angles: 114.97 114.97 90.00
Fractional coordinates of all 4 atoms:
Fe: 0.000 0.000 0.000
Si: 0.250 0.750 0.500
Si: 0.750 0.250 0.500
Zn: 0.500 0.500 0.000


[18]
Compound: ZnFeSi2
Source: the Alexandria database
Functional: PBEsol
Structure: optimized geometry

Results
ΔE_f (raw): -3.4 kJ per mole of atoms
total energy: -5.545 eV per atom
space-group type: P4mm, No. 99

abc: 3.199 3.199 4.822
angles: 90.00 90.00 90.00
Last column: magnetic moment on the atom in μB.
Fractional coordinates of all 4 atoms:
Fe: 0.500 0.500 0.774  1.13
Si: 0.000 0.000 0.980  -0.01
Si: 0.500 0.500 0.253  0.01
Zn: 0.000 0.000 0.493  -0.01


[19]
Compound: ZnFeSi3
Source: the Alexandria database
Functional: PBEsol
Structure: optimized geometry

Results
ΔE_f (raw): 28.1 kJ per mole of atoms
total energy: -5.266 eV per atom
space-group type: Pm-3m, No. 221

abc: 4.323 4.323 4.323
angles: 90.00 90.00 90.00
Fractional coordinates of all 5 atoms:
Zn: 0.500 0.500 0.500
Si: 0.000 0.500 0.000
Si: 0.000 0.000 0.500
Si: 0.500 0.000 0.000
Fe: 0.000 0.000 0.000


[20]
Compound: ZnFeSi2
Source: the Alexandria database
Functional: PBEsol
Structure: optimized geometry

Results
ΔE_f (raw): -2.4 kJ per mole of atoms
total energy: -5.535 eV per atom
space-group type: Pm, No. 6

abc: 2.930 3.997 4.587
angles: 90.00 108.97 90.00
Fractional coordinates of all 4 atoms:
Fe: 0.691 0.500 0.756
Si: 0.815 0.000 0.003
Si: 0.413 0.500 0.195
Zn: 0.081 0.000 0.546


[21]
Compound: Zn2FeSi
Source: the Alexandria database
Functional: PBEsol
Structure: optimized geometry

Results
ΔE_f (raw): -3.5 kJ per mole of atoms
total energy: -4.505 eV per atom
space-group type: I-4m2, No. 119

abc: 3.623 3.623 4.491
angles: 113.79 113.79 90.00
Last column: magnetic moment on the atom in μB.
Fractional coordinates of all 4 atoms:
Fe: 0.500 0.500 0.000  1.04
Si: 0.750 0.250 0.500  -0.02
Zn: 0.000 0.000 0.000  -0.01
Zn: 0.250 0.750 0.500  -0.02


[22]
Compound: ZnFeSi2
Source: the Alexandria database
Functional: PBEsol
Structure: optimized geometry

Results
ΔE_f (raw): 10.8 kJ per mole of atoms
total energy: -5.398 eV per atom
space-group type: P4/mmm, No. 123

abc: 3.547 3.663 3.663
angles: 90.00 90.00 90.00
Fractional coordinates of all 4 atoms:
Fe: 0.500 0.000 0.000
Si: 0.000 0.000 0.500
Si: 0.000 0.500 0.000
Zn: 0.500 0.500 0.500


[23]
Compound: ZrFeSi2
Source: the Alexandria database
Functional: PBEsol
Structure: optimized geometry

Results
ΔE_f (raw): -0.9 kJ per mole of atoms
total energy: -7.396 eV per atom
space-group type: I-42d, No. 122

abc: 4.200 4.200 8.229
angles: 104.79 104.79 90.00
Last column: magnetic moment on the atom in μB.
Fractional coordinates of all 8 atoms:
Si: 0.508 0.875 0.250  -0.01
Si: 0.742 0.375 0.250  -0.01
Si: 0.125 0.258 0.750  -0.01
Si: 0.625 0.492 0.750  -0.01
Fe: 0.750 0.250 0.500  0.89
Fe: 0.500 0.500 0.000  0.89
Zr: 0.250 0.750 0.500  -0.02
Zr: 0.000 0.000 0.000  -0.02


[24]
Compound: Zr3Fe2Si3
Source: the Alexandria database
Functional: PBEsol
Structure: optimized geometry

Results
ΔE_f (raw): -83.8 kJ per mole of atoms
total energy: -8.673 eV per atom
space-group type: Cmcm, No. 63

abc: 3.809 5.333 12.854
angles: 90.00 90.00 110.92
Fractional coordinates of all 16 atoms:
Fe: 0.778 0.557 0.081
Fe: 0.222 0.443 0.581
Fe: 0.778 0.557 0.419
Fe: 0.222 0.443 0.919
Si: 0.613 0.226 0.543
Si: 0.387 0.774 0.043
Si: 0.613 0.226 0.957
Si: 0.387 0.774 0.457
Si: 0.333 0.665 0.750
Si: 0.667 0.335 0.250
Zr: 0.922 0.844 0.614
Zr: 0.078 0.156 0.114
Zr: 0.922 0.844 0.886
Zr: 0.078 0.156 0.386
Zr: 0.635 0.271 0.750
Zr: 0.365 0.729 0.250